First-principles (GGA-PBE) data for a relaxed CaTlTe2SeF crystal, as listed in the Alexandria database.

Spin magnetization (Bohr magnetons per cell): 0.00
Energy relative to the elements, uncorrected (eV/atom): -1.20
E_tot (eV for the cell shown): -23.2
Space group: No. 1
Offset from the most stable computed form (eV/atom): 0.0785

Lattice parameters (Å, degrees): 4.108 5.943 7.335 95.15 106.23 89.92
Fractional positions:
Tl (0.546, 0.434, 0.139)
Te (0.223, 0.343, 0.496)
Te (0.183, 0.875, 0.402)
Ca (0.880, 0.906, 0.806)
Se (0.896, 0.409, 0.839)
F (0.438, 0.927, 0.922)